1.
A geometry-optimized Zn2Sb2Te structure, computed with PBE.

The structure in POSCAR format:
```
Zn2Sb2Te
1.0
-0.9995 4.0152 1.5751
-4.1460 -1.3401 0.7853
-0.8628 -0.5288 7.0228
Sb Zn Te
2 2 1
Direct
0.7500 0.2500 0.5000
0.2500 0.7500 0.5000
0.4034 0.4034 0.1931
0.5966 0.5966 0.8069
0.0000 0.0000 0.0000
```

Computed properties:
For the volume, the calculation gives 124.8 Å³/cell. The total energy is -2.545 eV/atom. The excess energy over the best structure of this formula in the dataset comes out at 112 meV/atom.

2.
A geometry-optimized Zn2Cu5Ge structure, computed with PBE.

The structure in POSCAR format:
```
Zn2Cu5Ge
1.0
-3.2212 -1.8317 0.8080
1.7378 -3.3183 -0.5947
2.6256 2.3195 6.8241
Zn Cu Ge
2 5 1
Direct
0.7474 0.7474 0.4949
0.2526 0.2526 0.5051
0.5000 0.5000 0.0000
0.8759 0.3759 0.7518
0.3759 0.8759 0.7518
0.1241 0.6241 0.2482
0.6241 0.1241 0.2482
0.0000 0.0000 0.0000
```

Computed properties:
For the volume, the calculation gives 103.4 Å³/cell. The total energy is -3.491 eV/atom.

3.
A geometry-optimized NaNi structure, computed with PBE.

The structure in POSCAR format:
```
NaNi
1.0
-3.7449 -1.2775 0.2008
2.7501 -2.2030 -1.8113
3.8321 -8.6634 16.3551
Na Ni
6 6
Direct
0.0000 0.0000 0.9038
0.0000 0.0000 0.0962
0.3333 0.6667 0.5705
0.3333 0.6667 0.7629
0.6667 0.3333 0.2371
0.6667 0.3333 0.4295
0.0000 0.0000 0.6670
0.0000 0.0000 0.3330
0.3333 0.6667 0.3336
0.3333 0.6667 0.9997
0.6667 0.3333 0.0003
0.6667 0.3333 0.6664
```

Computed properties:
For the volume, the calculation gives 256.9 Å³/cell. The total energy is -3.179 eV/atom.

4.
A geometry-optimized TbPmPrCu structure, computed with PBE.

The structure in POSCAR format:
```
TbPmPrCu
1.0
-1.0216 2.1911 -2.6495
-0.6064 -2.8355 -2.1111
-8.2889 -0.3757 2.8854
Tb Pm Pr Cu
1 1 1 1
Direct
0.5000 0.5000 0.3802
0.5000 0.5000 0.7661
0.0000 0.0000 0.0756
0.0000 0.0000 0.5628
```

Computed properties:
For the volume, the calculation gives 113.0 Å³/cell. The total energy is -4.646 eV/atom.

5.
A geometry-optimized InPt2Br structure, computed with PBE.

The structure in POSCAR format:
```
InPt2Br
1.0
8.4670 0.0116 0.0069
7.8199 3.2464 0.0069
7.8199 1.5643 2.8447
Br Pt In
1 2 1
Direct
0.2500 0.2500 0.2500
0.0036 0.0036 0.0036
0.4964 0.4964 0.4964
0.7500 0.7500 0.7500
```

Computed properties:
For the volume, the calculation gives 77.8 Å³/cell. The total energy is -4.014 eV/atom. The excess energy over the best structure of this formula in the dataset comes out at 242 meV/atom.

6.
A geometry-optimized La2DyRu structure, computed with PBE.

The structure in POSCAR format:
```
La2DyRu
1.0
6.3854 0.0000 0.0000
0.0000 7.3783 0.0000
0.0000 0.0000 9.9259
La Dy Ru
8 4 4
Direct
0.1712 0.6743 0.0678
0.3288 0.1743 0.4322
0.8288 0.3257 0.5678
0.6712 0.8257 0.9322
0.8288 0.3257 0.9322
0.6712 0.8257 0.5678
0.1712 0.6743 0.4322
0.3288 0.1743 0.0678
0.6526 0.5449 0.2500
0.8474 0.0449 0.2500
0.3474 0.4551 0.7500
0.1526 0.9551 0.7500
0.0569 0.3858 0.2500
0.4431 0.8858 0.2500
0.9431 0.6142 0.7500
0.5569 0.1142 0.7500
```

Computed properties:
For the volume, the calculation gives 467.6 Å³/cell. The total energy is -6.179 eV/atom. The excess energy over the best structure of this formula in the dataset comes out at 0 meV/atom.

7.
A geometry-optimized Al2PdBr structure, computed with PBE.

The structure in POSCAR format:
```
Al2PdBr
1.0
1.1970 -4.0614 -2.2613
-3.2006 -2.2165 -2.8080
0.5876 -0.0109 -4.7640
Br Pd Al
1 1 2
Direct
0.0000 0.0000 0.0000
0.5000 0.5000 0.5000
0.2500 0.2500 0.2500
0.7500 0.7500 0.7500
```

Computed properties:
For the volume, the calculation gives 78.2 Å³/cell. The total energy is -3.340 eV/atom. The excess energy over the best structure of this formula in the dataset comes out at 390 meV/atom.

8.
A geometry-optimized Ag12Te5S2 structure, computed with PBE.

The structure in POSCAR format:
```
Ag12Te5S2
1.0
-5.4340 0.1327 -5.3572
2.2772 -7.4672 2.9414
-5.8147 3.5820 5.9867
Ag Te S
12 5 2
Direct
0.0050 0.0100 0.2092
0.1205 0.6332 0.9070
0.5127 0.6332 0.9070
0.0296 0.6484 0.4188
0.6188 0.6484 0.4188
0.5270 0.0540 0.8501
0.4730 0.9460 0.1499
0.9704 0.3516 0.5812
0.3812 0.3516 0.5812
0.8795 0.3668 0.0930
0.4873 0.3668 0.0930
0.9950 0.9900 0.7908
0.3448 0.6896 0.6276
0.2971 0.5941 0.1859
0.0000 0.0000 0.5000
0.7029 0.4059 0.8141
0.6552 0.3104 0.3724
0.7836 0.0000 0.0000
0.2164 0.0000 0.0000
```

Computed properties:
For the volume, the calculation gives 485.0 Å³/cell. The total energy is -3.046 eV/atom. The excess energy over the best structure of this formula in the dataset comes out at 0 meV/atom.